Computed, not measured: an optimized crystal structure of RbCeVO5 at the GGA+U level of DFT.

Summary:
total magnetic moment: 0.00 Bohr magnetons per cell
symmetry: No. 15
raw total energy: -7.407 eV/atom

Unit cell a=6.3705 b=6.3705 c=8.0820 alpha=104.25 beta=104.25 gamma=106.14
Last column: nearest neighbours and their distance in Å.
Fractional positions:
Rb (0.3342, 0.6658, 0.2500)  7 O 2.78-3.05
Ce (0.0000, 0.0000, 0.0000)  4 O 2.11-2.34
O (0.1306, 0.7058, 0.8813)  1 V 1.76
O (0.0609, 0.9391, 0.2500)  2 Ce 2.11
Ce (0.0000, 0.0000, 0.5000)  4 O 2.11-2.34
O (0.4014, 0.2316, 0.1107)  1 V 1.74
V (0.6877, 0.3123, 0.2500)  4 O 1.74-1.76
Rb (0.6658, 0.3342, 0.7500)  7 O 2.78-3.05
O (0.2942, 0.8694, 0.6187)  1 V 1.76
O (0.8694, 0.2942, 0.1187)  1 V 1.76
V (0.3123, 0.6877, 0.7500)  4 O 1.74-1.76
O (0.2316, 0.4014, 0.6107)  1 V 1.74
O (0.7058, 0.1306, 0.3813)  1 V 1.76
O (0.5986, 0.7684, 0.8893)  1 V 1.74
O (0.9391, 0.0609, 0.7500)  2 Ce 2.11
O (0.7684, 0.5986, 0.3893)  1 V 1.74